# 1
A relaxed TbMg2F8 crystal. Source: Alexandria, functional PBE-GGA.

Structure (POSCAR):
```
TbMg2F8
1.0
-2.5362 2.5362 5.4003
2.5362 -2.5362 5.4003
2.5362 2.5362 -5.4003
Tb Mg F
1 2 8
Direct
0.0000 0.0000 0.0000 Tb
0.2500 0.7500 0.5000 Mg
0.7500 0.2500 0.5000 Mg
0.1086 0.1086 0.4894 F
0.1086 0.6193 0.0000 F
0.3807 0.3807 0.4894 F
0.3807 0.8914 0.0000 F
0.6193 0.1086 0.0000 F
0.6193 0.6193 0.5106 F
0.8914 0.3807 0.0000 F
0.8914 0.8914 0.5106 F
```

Computed properties:
Energy relative to the elements, uncorrected ... -35.8 eV/f.u.

# 2
A relaxed VFe3I crystal. Source: Alexandria, functional PBE-GGA.

Structure (POSCAR):
```
VFe3I
1.0
4.6197 0.0000 0.0000
0.0000 4.6197 0.0000
0.0000 0.0000 4.6197
V Fe I
1 3 1
Direct
0.0000 0.0000 0.0000 V
0.0000 0.5000 0.5000 Fe
0.5000 0.0000 0.5000 Fe
0.5000 0.5000 0.0000 Fe
0.5000 0.5000 0.5000 I
```

Computed properties:
Energy relative to the elements, uncorrected ... 8.7 eV/f.u.

# 3
A relaxed BeGaFeCu2 crystal. Source: Alexandria, functional PBE-GGA.

Structure (POSCAR):
```
BeGaFeCu2
1.0
4.4436 0.0000 0.0000
0.0000 4.4436 0.0000
0.0000 0.0000 3.9782
Be Ga Fe Cu
1 1 1 2
Direct
0.0000 0.0000 0.0000 Be
0.5000 0.5000 0.0000 Ga
0.0000 0.0000 0.5000 Fe
0.0000 0.5000 0.5000 Cu
0.5000 0.0000 0.5000 Cu
```

Computed properties:
Formation energy ... 927 meV per atom

# 4
A relaxed BaAcUO6 crystal. Source: Alexandria, functional PBE-GGA.

Structure (POSCAR):
```
BaAcUO6
1.0
-3.8748 4.0177 5.2270
3.8748 -4.0177 5.2270
3.8748 4.0177 -5.2270
Ba Ac U O
2 2 2 12
Direct
0.4053 0.1553 0.2500 Ba
0.5947 0.8447 0.7500 Ba
0.0000 0.0000 0.5000 Ac
0.0000 0.5000 0.0000 Ac
0.0000 0.5000 0.5000 U
0.5000 0.5000 0.0000 U
0.1360 0.8860 0.2500 O
0.1610 0.4110 0.7500 O
0.1785 0.4489 0.3654 O
0.1785 0.8131 0.7296 O
0.4165 0.1869 0.8654 O
0.4165 0.5511 0.2296 O
0.5835 0.4489 0.7704 O
0.5835 0.8131 0.1346 O
0.8215 0.1869 0.2704 O
0.8215 0.5511 0.6346 O
0.8390 0.5890 0.2500 O
0.8640 0.1140 0.7500 O
```

Computed properties:
Energy relative to the elements, uncorrected ... -26.6 eV/f.u.